Material: La5Pm2SmHo
Method: DFT, PBE
State: optimized geometry

As for the volume: 1287 Å³ per cell. The energy relative to the elements is 0.27 eV/atom. Its crystal system is tetragonal.

The space group is I4/mcm (No. 140) and the conventional cell measures 9.044, 9.044 and 15.734 Å, with angles of 90.00, 90.00 and 90.00 degrees. The inequivalent atoms are La at (0.000, 0.000, 0.000), La at (0.210, 0.290, 0.141), Pm at (0.115, 0.385, 0.500), Sm at (0.000, 0.000, 0.250) and Ho at (0.000, 0.500, 0.250).